# Mg3AlGa2

An optimized crystal structure of Mg3AlGa2 (PBE, Alexandria).

Cell: 8.2489 8.2489 8.2489 Å, 139.44 59.85 137.94°
Closest atoms and distances in Å follow each position.
Fractional coordinates of all 12 atoms:
Mg  0.1782  0.2385  0.4167  5 Ga 2.76-3.05
Mg  0.2500  0.2500  0.0000  4 Ga 2.82, 2 Al 2.86, 2 Mg 2.96
Mg  0.3218  0.7385  0.0602  5 Ga 2.76-3.05
Mg  0.6782  0.2615  0.9398  5 Ga 2.76-3.05
Mg  0.7500  0.7500  0.0000  4 Ga 2.82, 2 Al 2.86, 2 Mg 2.96
Mg  0.8218  0.7615  0.5833  5 Ga 2.76-3.05
Al  0.2500  0.7500  0.5000  4 Ga 2.71, 2 Mg 2.86, 2 Al 2.96
Al  0.7500  0.2500  0.5000  4 Ga 2.71, 2 Mg 2.86, 2 Al 2.96
Ga  0.1289  0.7300  0.8589  2 Al 2.71, 5 Mg 2.76-2.99
Ga  0.3711  0.2300  0.6012  2 Al 2.71, 5 Mg 2.76-2.99
Ga  0.6289  0.7700  0.3988  2 Al 2.71, 5 Mg 2.76-2.99
Ga  0.8711  0.2700  0.1411  2 Al 2.71, 5 Mg 2.76-2.99

Values from the calculation:
Space-group type: No. 72
ΔE_f in eV/atom: -0.103
M_tot in Bohr magnetons per cell: 0.000
Final energy in eV per atom: -2.533



# MgAl5Ga6

An optimized crystal structure of MgAl5Ga6 (PBE, Alexandria).

Cell: 6.5924 6.5924 5.0025 Å, 97.25 97.25 91.43°
Closest atoms and distances in Å follow each position.
Fractional coordinates of all 12 atoms:
Mg  0.0000  0.0000  0.0000  6 Ga 2.81-2.89, 4 Al 3.03
Al  0.1809  0.8191  0.5000  6 Ga 2.80-2.91, 3 Al 2.92-3.01, 2 Mg 3.03
Al  0.3413  0.6587  0.0000  6 Ga 2.82-2.90, 5 Al 2.92-3.00
Al  0.5000  0.5000  0.5000  6 Ga 2.81-2.90, 6 Al 2.92-3.01
Al  0.6587  0.3413  0.0000  6 Ga 2.82-2.90, 5 Al 2.92-3.00
Al  0.8191  0.1809  0.5000  6 Ga 2.80-2.91, 3 Al 2.92-3.01, 2 Mg 3.03
Ga  0.0794  0.4185  0.2489  5 Al 2.80-2.90, 1 Mg 2.89, 5 Ga 2.92-3.12
Ga  0.2456  0.2456  0.7374  5 Al 2.81-2.91, 1 Mg 2.81, 6 Ga 2.93-3.12
Ga  0.4185  0.0794  0.2489  5 Al 2.80-2.90, 1 Mg 2.89, 5 Ga 2.92-3.12
Ga  0.5815  0.9206  0.7511  5 Al 2.80-2.90, 1 Mg 2.89, 5 Ga 2.92-3.12
Ga  0.7544  0.7544  0.2626  5 Al 2.81-2.91, 1 Mg 2.81, 6 Ga 2.93-3.12
Ga  0.9206  0.5815  0.7511  5 Al 2.80-2.90, 1 Mg 2.89, 5 Ga 2.92-3.12

Values from the calculation:
Space-group type: No. 12
ΔE_f in eV/atom: 0.011
M_tot in Bohr magnetons per cell: 0.000
Final energy in eV per atom: -3.195



> The lowest ΔE_f belongs to which entry?

Mg3AlGa2